VASP calculation (GGA-PBE) on a geometry-optimized MgPAu2 structure. Values from VASP.

Properties
relative energy among the computed polymorphs	50	kJ/mol of formula units
raw total energy	-13.7	eV/cell
formation enthalpy at 0 K	-0.03	eV per atom
crystal system	tetragonal
DOS at the Fermi energy	1.21	states/eV per cell

Structure (Quantum ESPRESSO input):
```
&SYSTEM
  ibrav = 0, nat = 4, ntyp = 3
/
ATOMIC_SPECIES
Au 196.97 Au.upf
Mg 24.30 Mg.upf
P 30.97 P.upf
CELL_PARAMETERS angstrom
-0.7559 -2.0081 -2.1123
-0.1741 -2.1462 2.1046
-7.4620 1.6684 1.0841
ATOMIC_POSITIONS crystal
Au 0.0000 0.0000 0.9855
Au 0.5000 0.5000 0.2639
Mg 0.0000 0.0000 0.5058
P 0.5000 0.5000 0.7448
```